Computed, not measured: Mg2BeAgTe after structural relaxation at the PBEsol level of DFT.

The value obtained for the electronic total energy is -13.19 eV per cell. The value obtained for the total magnetic moment is 0.000 μB/f.u. The formation energy from raw total energies is 0.217 eV per atom. For the mass density, the calculation gives 4.6 Mg/m³.

abc: 4.3810 4.8974 4.8974
angles: 90.00 90.00 90.00
Closest atoms and distances in Å follow each position.
Fractional coordinates of all 5 atoms:
Be 0.0000 0.0000 0.0000  2 Ag 2.19, 4 Mg 2.45
Mg 0.0000 0.5000 0.0000  2 Be 2.45
Ag 0.5000 0.0000 0.0000  2 Be 2.19
Mg 0.0000 0.0000 0.5000  2 Be 2.45
Te 0.5000 0.5000 0.5000  8 Mg 3.29, 4 Ag 3.46